Record 1
First-principles (GGA-PBE) data for an optimized crystal structure of CsKU, as listed in OQMD via LeMat-Bulk.

abc: 9.2895 9.2895 9.2895
angles: 90.00 90.00 90.00
Closest atoms and distances in Å follow each position.
Fractional coordinates of all 12 atoms:
Cs1 0.0000 0.0000 0.0000  4 U 4.02, 4 K 4.02
Cs2 0.0000 0.5000 0.5000  4 U 4.02, 4 K 4.02
Cs3 0.5000 0.0000 0.5000  4 U 4.02, 4 K 4.02
Cs4 0.5000 0.5000 0.0000  4 U 4.02, 4 K 4.02
K1 0.2500 0.2500 0.7500  4 Cs 4.02
K2 0.2500 0.7500 0.2500  4 Cs 4.02
K3 0.7500 0.2500 0.2500  4 Cs 4.02
K4 0.7500 0.7500 0.7500  4 Cs 4.02
U1 0.2500 0.2500 0.2500  4 Cs 4.02
U2 0.2500 0.7500 0.7500  4 Cs 4.02
U3 0.7500 0.2500 0.7500  4 Cs 4.02
U4 0.7500 0.7500 0.2500  4 Cs 4.02

Results
Size of the total moment ... 24.0 μB/cell
Calculated density ... 3.40 Mg/m³
Energy ... -2.559 eV per atom
Crystal system ... cubic

=====

Record 2
First-principles (GGA-PBE) data for an optimized crystal structure of PuSeS, as listed in OQMD via LeMat-Bulk.

abc: 8.0968 3.9729 7.9837
angles: 90.00 90.04 90.00
Closest atoms and distances in Å follow each position.
Fractional coordinates of all 12 atoms:
Pu1 0.2048 0.2418 0.3738  5 S 2.78-2.90, 1 Se 3.06
Pu2 0.2048 0.2582 0.8738  5 S 2.78-2.90, 1 Se 3.06
Pu3 0.7952 0.7418 0.1262  5 S 2.78-2.90, 1 Se 3.06
Pu4 0.7952 0.7582 0.6262  5 S 2.78-2.90, 1 Se 3.06
Se1 0.5005 0.2236 0.1238  4 Se 2.66-2.95
Se2 0.5005 0.2764 0.6238  4 Se 2.66-2.95
Se3 0.4995 0.7236 0.3762  4 Se 2.66-2.95
Se4 0.4995 0.7764 0.8762  4 Se 2.66-2.95
S1 0.1385 0.7470 0.1244  5 Pu 2.78-2.90
S2 0.1385 0.7530 0.6244  5 Pu 2.78-2.90
S3 0.8615 0.2470 0.3756  5 Pu 2.78-2.90
S4 0.8615 0.2530 0.8756  5 Pu 2.78-2.90

Results
Size of the total moment ... 20.3 μB/cell
Calculated density ... 9.18 Mg/m³
Energy ... -8.698 eV per atom
Crystal system ... monoclinic

=====

Record 3
First-principles (GGA-PBE) data for an optimized crystal structure of TeIrNO, as listed in OQMD via LeMat-Bulk.

abc: 3.0994 5.9546 5.9055
angles: 90.00 90.00 90.00
Closest atoms and distances in Å follow each position.
Fractional coordinates of all 8 atoms:
Te1 0.0000 0.0925 0.0000  1 N 2.10, 2 O 2.31
Te2 0.0000 0.9075 0.5000  1 N 2.10, 2 O 2.31
Ir1 0.5000 0.3095 0.5006  2 N 2.02, 2 O 2.15-2.22
Ir2 0.5000 0.6905 0.0006  2 N 2.02, 2 O 2.15-2.22
N1 0.0000 0.3081 0.2808  2 Ir 2.02, 1 Te 2.10
N2 0.0000 0.6919 0.7808  2 Ir 2.02, 1 Te 2.10
O1 0.5000 0.3509 0.8750  2 Ir 2.15-2.22, 2 Te 2.31
O2 0.5000 0.6491 0.3750  2 Ir 2.15-2.22, 2 Te 2.31

Results
Size of the total moment ... 0.0 μB/cell
Calculated density ... 10.66 Mg/m³
Energy ... -5.793 eV per atom
Crystal system ... orthorhombic

=====

Record 4
First-principles (GGA-PBE) data for an optimized crystal structure of HoZr2In3Ir2, as listed in OQMD via LeMat-Bulk.

abc: 3.3906 13.2554 7.5453
angles: 90.00 90.00 90.00
Closest atoms and distances in Å follow each position.
Fractional coordinates of all 16 atoms:
Ho1 0.0000 0.0000 0.0000  4 Ir 2.91, 2 In 3.15
Ho2 0.0000 0.5000 0.5000  4 Ir 2.91, 2 In 3.15
Zr1 0.0000 0.2119 0.3685  4 Ir 2.79-2.81, 2 In 3.12
Zr2 0.0000 0.2881 0.8685  4 Ir 2.79-2.81, 2 In 3.12
Zr3 0.0000 0.7119 0.8685  4 Ir 2.79-2.81, 2 In 3.12
Zr4 0.0000 0.7881 0.3685  4 Ir 2.79-2.81, 2 In 3.12
In1 0.5000 0.0000 0.3514  2 In 3.02, 2 Ir 3.05, 2 Ho 3.15, 4 Zr 3.28
In2 0.5000 0.1175 0.6942  2 Ir 2.92-3.02, 2 In 3.02-3.12, 4 Zr 3.12-3.24, 2 Ho 3.26
In3 0.5000 0.3825 0.1942  2 Ir 2.92-3.02, 2 In 3.02-3.12, 4 Zr 3.12-3.24, 2 Ho 3.26
In4 0.5000 0.5000 0.8514  2 In 3.02, 2 Ir 3.05, 2 Ho 3.15, 4 Zr 3.28
In5 0.5000 0.6175 0.1942  2 Ir 2.92-3.02, 2 In 3.02-3.12, 4 Zr 3.12-3.24, 2 Ho 3.26
In6 0.5000 0.8825 0.6942  2 Ir 2.92-3.02, 2 In 3.02-3.12, 4 Zr 3.12-3.24, 2 Ho 3.26
Ir1 0.5000 0.1718 0.0831  4 Zr 2.79-2.81, 2 Ho 2.91, 3 In 2.92-3.05
Ir2 0.5000 0.3282 0.5831  4 Zr 2.79-2.81, 2 Ho 2.91, 3 In 2.92-3.05
Ir3 0.5000 0.6718 0.5831  4 Zr 2.79-2.81, 2 Ho 2.91, 3 In 2.92-3.05
Ir4 0.5000 0.8282 0.0831  4 Zr 2.79-2.81, 2 Ho 2.91, 3 In 2.92-3.05

Results
Size of the total moment ... 0.0 μB/cell
Calculated density ... 10.54 Mg/m³
Energy ... -6.561 eV per atom
Crystal system ... orthorhombic

=====

Record 5
First-principles (GGA-PBE) data for an optimized crystal structure of Cd5H, as listed in OQMD via LeMat-Bulk.

abc: 5.7110 5.7110 4.9284
angles: 90.00 90.00 120.00
Closest atoms and distances in Å follow each position.
Fractional coordinates of all 6 atoms:
Cd1 0.0000 0.5000 0.0000  8 Cd 2.86-2.96
Cd2 0.3333 0.6667 0.5000  9 Cd 2.96-3.30, 3 H 3.30
Cd3 0.5000 0.0000 0.0000  8 Cd 2.86-2.96
Cd4 0.5000 0.5000 0.0000  8 Cd 2.86-2.96
Cd5 0.6667 0.3333 0.5000  9 Cd 2.96-3.30, 3 H 3.30
H1 0.0000 0.0000 0.5000  6 Cd 3.30

Results
Calculated density ... 6.72 Mg/m³
Energy ... -0.851 eV per atom
Crystal system ... hexagonal

=====

Record 6
First-principles (GGA-PBE) data for an optimized crystal structure of ErCdCuSe3, as listed in OQMD via LeMat-Bulk.

abc: 6.7881 6.7881 10.4931
angles: 90.00 90.00 146.56
Closest atoms and distances in Å follow each position.
Fractional coordinates of all 12 atoms:
Er1 0.0000 0.0000 0.0000  6 Se 2.82-2.91
Er2 0.0000 0.0000 0.5000  6 Se 2.82-2.91
Cd1 0.2321 0.7679 0.7500  6 Se 2.92-2.95
Cd2 0.7679 0.2321 0.2500  6 Se 2.92-2.95
Cu1 0.4761 0.5239 0.2500  4 Se 2.44-2.51
Cu2 0.5239 0.4761 0.7500  4 Se 2.44-2.51
Se1 0.0976 0.9024 0.2500  2 Cu 2.51
Se2 0.3544 0.6456 0.0725  1 Cu 2.44
Se3 0.3544 0.6456 0.4275  1 Cu 2.44
Se4 0.6456 0.3544 0.5725  1 Cu 2.44
Se5 0.6456 0.3544 0.9275  1 Cu 2.44
Se6 0.9024 0.0976 0.7500  2 Cu 2.51

Results
Size of the total moment ... 0.0 μB/cell
Calculated density ... 7.23 Mg/m³
Energy ... -4.177 eV per atom
Crystal system ... orthorhombic